Entry 1:
Computed, not measured: a geometry-optimized TlCrOs2O8 structure at the GGA+U level of DFT.

Cell: 5.370 5.370 8.298 Å, 90.00 90.00 120.00°
Fractional coordinates of all 12 atoms:
Tl  0.000  0.000  0.000
Cr  0.000  0.000  0.500
Os  0.333  0.667  0.714
Os  0.667  0.333  0.286
O  0.039  0.324  0.647
O  0.285  0.961  0.647
O  0.324  0.285  0.353
O  0.333  0.667  0.928
O  0.667  0.333  0.072
O  0.676  0.715  0.647
O  0.715  0.039  0.353
O  0.961  0.676  0.353

Results
Crystal system ... trigonal
DFT total energy ... -84.0 eV per cell

---

Entry 2:
Computed, not measured: a geometry-optimized TlCrOsO6 structure at the GGA+U level of DFT.

Cell: 5.233 5.233 5.256 Å, 90.00 90.00 120.00°
Fractional coordinates of all 9 atoms:
Tl  0.000  0.000  0.000
Cr  0.333  0.667  0.500
Os  0.667  0.333  0.500
O  0.392  0.014  0.704
O  0.392  0.378  0.296
O  0.622  0.014  0.296
O  0.622  0.608  0.704
O  0.986  0.378  0.704
O  0.986  0.608  0.296

Results
Crystal system ... trigonal
DFT total energy ... -61.2 eV per cell

---

Entry 3:
Computed, not measured: a geometry-optimized ZnCr2OsO structure at the GGA+U level of DFT.

Cell: 4.809 4.809 4.782 Å, 90.00 90.00 90.00°
Fractional coordinates of all 5 atoms:
Zn  0.000  0.000  0.000
Cr  0.000  0.500  0.500
Cr  0.500  0.000  0.500
Os  0.000  0.000  0.500
O  0.500  0.500  0.000

Results
Crystal system ... tetragonal
DFT total energy ... -25.9 eV per cell

---

no.,V (Å³/f.u.),total moment (μB/f.u.)
1,207,7.1
2,125,2.9
3,111,6.7